The following is a PBE calculation of a relaxed Ti2Co2Ru crystal, from Alexandria via LeMat-Bulk.

Unit cell a=6.5615 b=6.5615 c=3.1191 alpha=90.00 beta=90.00 gamma=90.00
Fractional positions:
Ti (0.1813, 0.3187, 0.0000)
Ti (0.3187, 0.8187, 0.0000)
Ti (0.6813, 0.1813, 0.0000)
Ti (0.8187, 0.6813, 0.0000)
Co (0.1218, 0.6218, 0.5000)
Co (0.3782, 0.1218, 0.5000)
Co (0.6218, 0.8782, 0.5000)
Co (0.8782, 0.3782, 0.5000)
Ru (0.0000, 0.0000, 0.5000)
Ru (0.5000, 0.5000, 0.5000)

Results
magnetization = 0.0 μB per formula unit
SG = P4/mbm (127)
offset from the most stable computed form = 0 meV per atom
E_tot = -81.2 eV for the cell shown
E_form = -263 meV/atom

The following is a PBE calculation of a relaxed TiCoRu crystal, from Alexandria via LeMat-Bulk.

Unit cell a=7.0627 b=7.0627 c=7.0627 alpha=111.57 beta=91.19 gamma=127.71
Fractional positions:
Ti (0.1726, 0.0032, 0.1758)
Ti (0.1726, 0.4968, 0.6694)
Ti (0.4366, 0.2431, 0.6935)
Ti (0.5496, 0.7431, 0.3065)
Ti (0.8274, 0.5032, 0.3306)
Ti (0.8274, 0.9968, 0.8242)
Co (0.2457, 0.4230, 0.9598)
Co (0.2457, 0.7859, 0.3227)
Co (0.4631, 0.2859, 0.0402)
Co (0.4631, 0.9230, 0.6773)
Co (0.7159, 0.2159, 0.5000)
Co (0.7159, 0.7159, 0.0000)
Ru (0.0136, 0.2733, 0.2403)
Ru (0.0331, 0.7733, 0.7597)
Ru (0.4896, 0.9361, 0.0535)
Ru (0.5155, 0.5068, 0.5087)
Ru (0.8826, 0.4361, 0.9465)
Ru (0.9981, 0.0068, 0.4913)

Results
magnetization = 0.6 μB per formula unit
SG = Ima2 (46)
E_tot = -148.5 eV for the cell shown
E_form = -159 meV/atom

The following is a PBE calculation of a relaxed TiCo2Ru crystal, from Alexandria via LeMat-Bulk.

Unit cell a=9.2863 b=9.2863 c=9.2863 alpha=158.20 beta=158.20 gamma=31.02
Fractional positions:
Ti (0.0000, 0.0000, 0.0000)
Ti (0.7500, 0.2500, 0.5000)
Co (0.1156, 0.6250, 0.9906)
Co (0.3750, 0.3656, 0.4906)
Co (0.6344, 0.1250, 0.0094)
Co (0.8750, 0.8844, 0.5094)
Ru (0.2500, 0.7500, 0.5000)
Ru (0.5000, 0.5000, 0.0000)

Results
magnetization = 2.6 μB per formula unit
SG = I-42d (122)
E_tot = -60.7 eV for the cell shown
E_form = 259 meV/atom

The following is a PBE calculation of a relaxed Ti5Co4Ru crystal, from Alexandria via LeMat-Bulk.

Unit cell a=3.0177 b=3.0177 c=14.8695 alpha=90.00 beta=90.00 gamma=90.00
Fractional positions:
Ti (0.0000, 0.0000, 0.0000)
Ti (0.0000, 0.0000, 0.1977)
Ti (0.0000, 0.0000, 0.3954)
Ti (0.0000, 0.0000, 0.6046)
Ti (0.0000, 0.0000, 0.8023)
Co (0.5000, 0.5000, 0.0994)
Co (0.5000, 0.5000, 0.2969)
Co (0.5000, 0.5000, 0.7031)
Co (0.5000, 0.5000, 0.9006)
Ru (0.5000, 0.5000, 0.5000)

Results
magnetization = 3.1 μB per formula unit
SG = P4/mmm (123)
E_tot = -81.7 eV for the cell shown
E_form = -451 meV/atom

The following is a PBE calculation of a relaxed Ti5CoRu4 crystal, from Alexandria via LeMat-Bulk.

Unit cell a=3.0713 b=3.0713 c=15.1925 alpha=90.00 beta=90.00 gamma=90.00
Fractional positions:
Ti (0.0000, 0.0000, 0.0000)
Ti (0.0000, 0.0000, 0.2032)
Ti (0.0000, 0.0000, 0.4052)
Ti (0.0000, 0.0000, 0.5948)
Ti (0.0000, 0.0000, 0.7968)
Co (0.5000, 0.5000, 0.5000)
Ru (0.5000, 0.5000, 0.1017)
Ru (0.5000, 0.5000, 0.3052)
Ru (0.5000, 0.5000, 0.6948)
Ru (0.5000, 0.5000, 0.8983)

Results
magnetization = 0.0 μB per formula unit
SG = P4/mmm (123)
E_tot = -90.5 eV for the cell shown
E_form = -683 meV/atom

The following is a PBE calculation of a relaxed TmTiCoRu crystal, from Alexandria via LeMat-Bulk.

Unit cell a=4.4955 b=4.4955 c=4.4955 alpha=60.00 beta=60.00 gamma=60.00
Fractional positions:
Tm (0.0000, 0.0000, 0.0000)
Ti (0.5000, 0.5000, 0.5000)
Co (0.7500, 0.7500, 0.7500)
Ru (0.2500, 0.2500, 0.2500)

Results
magnetization = 0.3 μB per formula unit
SG = F-43m (216)
E_tot = -30.2 eV for the cell shown
E_form = -369 meV/atom

The following is a PBE calculation of a relaxed TiZnCoRu crystal, from Alexandria via LeMat-Bulk.

Unit cell a=3.0318 b=3.0318 c=5.8157 alpha=90.00 beta=90.00 gamma=90.00
Fractional positions:
Ti (0.0000, 0.0000, 0.0000)
Zn (0.0000, 0.0000, 0.5177)
Co (0.5000, 0.5000, 0.7517)
Ru (0.5000, 0.5000, 0.2524)

Results
magnetization = 0.1 μB per formula unit
SG = P4mm (99)
E_tot = -26.9 eV for the cell shown
E_form = -336 meV/atom

The following is a PBE calculation of a relaxed Tl3CoRu crystal, from Alexandria via LeMat-Bulk.

Unit cell a=5.2452 b=5.2452 c=5.2452 alpha=90.00 beta=90.00 gamma=90.00
Fractional positions:
Tl (0.0000, 0.0000, 0.5000)
Tl (0.0000, 0.5000, 0.0000)
Tl (0.5000, 0.0000, 0.0000)
Co (0.5000, 0.5000, 0.5000)
Ru (0.0000, 0.0000, 0.0000)

Results
magnetization = 2.4 μB per formula unit
SG = Pm-3m (221)
offset from the most stable computed form = 0 meV per atom
E_tot = -18.7 eV for the cell shown
E_form = 957 meV/atom

The following is a PBE calculation of a relaxed TlCoRu crystal, from Alexandria via LeMat-Bulk.

Unit cell a=3.6640 b=3.5871 c=8.7715 alpha=90.00 beta=90.07 gamma=90.00
Fractional positions:
Tl (0.0015, 0.2500, 0.3507)
Tl (0.9985, 0.7500, 0.6493)
Co (0.9997, 0.2500, 0.9095)
Co (0.0003, 0.7500, 0.0905)
Ru (0.5003, 0.2500, 0.0998)
Ru (0.4997, 0.7500, 0.9002)

Results
magnetization = 0.4 μB per formula unit
SG = P2_1/m (11)
offset from the most stable computed form = 33 meV per atom
E_tot = -35.0 eV for the cell shown
E_form = 415 meV/atom

The following is a PBE calculation of a relaxed TlCoRu2 crystal, from Alexandria via LeMat-Bulk.

Unit cell a=2.8340 b=3.6702 c=5.9298 alpha=90.00 beta=90.00 gamma=90.00
Fractional positions:
Tl (0.0000, 0.0000, 0.0000)
Co (0.5000, 0.5000, 0.2684)
Ru (0.0000, 0.0000, 0.4854)
Ru (0.5000, 0.5000, 0.6924)

Results
magnetization = 1.1 μB per formula unit
SG = Pmm2 (25)
offset from the most stable computed form = 21 meV per atom
E_tot = -26.1 eV for the cell shown
E_form = 469 meV/atom

The following is a PBE calculation of a relaxed TlCoRu2 crystal, from Alexandria via LeMat-Bulk.

Unit cell a=4.4468 b=4.4468 c=4.4468 alpha=60.00 beta=60.00 gamma=60.00
Fractional positions:
Tl (0.0000, 0.0000, 0.0000)
Co (0.2500, 0.2500, 0.2500)
Ru (0.5000, 0.5000, 0.5000)
Ru (0.7500, 0.7500, 0.7500)

Results
magnetization = 3.7 μB per formula unit
SG = F-43m (216)
offset from the most stable computed form = 176 meV per atom
E_tot = -25.5 eV for the cell shown
E_form = 625 meV/atom

The following is a PBE calculation of a relaxed TlCoRu2 crystal, from Alexandria via LeMat-Bulk.

Unit cell a=3.9168 b=3.9168 c=3.9577 alpha=90.00 beta=90.00 gamma=90.00
Fractional positions:
Tl (0.0000, 0.0000, 0.0000)
Co (0.5000, 0.5000, 0.0000)
Ru (0.0000, 0.5000, 0.5000)
Ru (0.5000, 0.0000, 0.5000)

Results
magnetization = 1.7 μB per formula unit
SG = P4/mmm (123)
offset from the most stable computed form = 209 meV per atom
E_tot = -25.4 eV for the cell shown
E_form = 658 meV/atom

The following is a PBE calculation of a relaxed TlCoRu2 crystal, from Alexandria via LeMat-Bulk.

Unit cell a=2.8679 b=4.1154 c=5.4648 alpha=90.00 beta=102.77 gamma=90.00
Fractional positions:
Tl (0.0000, 0.0000, 0.0000)
Co (0.0000, 0.0000, 0.5000)
Ru (0.3762, 0.5000, 0.7152)
Ru (0.6238, 0.5000, 0.2848)

Results
magnetization = 3.3 μB per formula unit
SG = P2/m (10)
offset from the most stable computed form = 158 meV per atom
E_tot = -25.6 eV for the cell shown
E_form = 607 meV/atom

The following is a PBE calculation of a relaxed TlCoRu2 crystal, from Alexandria via LeMat-Bulk.

Unit cell a=4.4071 b=4.4071 c=4.4071 alpha=60.00 beta=60.00 gamma=60.00
Fractional positions:
Tl (0.0000, 0.0000, 0.0000)
Co (0.5000, 0.5000, 0.5000)
Ru (0.2500, 0.2500, 0.2500)
Ru (0.7500, 0.7500, 0.7500)

Results
magnetization = 0.0 μB per formula unit
SG = Fm-3m (225)
offset from the most stable computed form = 231 meV per atom
E_tot = -25.3 eV for the cell shown
E_form = 679 meV/atom

The following is a PBE calculation of a relaxed TlCoRu2 crystal, from Alexandria via LeMat-Bulk.

Unit cell a=4.7915 b=4.7915 c=4.7915 alpha=131.62 beta=131.62 gamma=70.83
Fractional positions:
Tl (0.0000, 0.0000, 0.0000)
Co (0.7500, 0.2500, 0.5000)
Ru (0.2500, 0.7500, 0.5000)
Ru (0.5000, 0.5000, 0.0000)

Results
magnetization = 1.1 μB per formula unit
SG = I-4m2 (119)
offset from the most stable computed form = 113 meV per atom
E_tot = -25.8 eV for the cell shown
E_form = 562 meV/atom

The following is a PBE calculation of a relaxed TlCoRu2 crystal, from Alexandria via LeMat-Bulk.

Unit cell a=4.7003 b=4.7003 c=2.9534 alpha=90.00 beta=90.00 gamma=107.44
Fractional positions:
Tl (0.0000, 0.0000, 0.0000)
Co (0.5000, 0.5000, 0.0000)
Ru (0.0000, 0.5000, 0.5000)
Ru (0.5000, 0.0000, 0.5000)

Results
magnetization = 3.4 μB per formula unit
SG = Cmmm (65)
offset from the most stable computed form = 260 meV per atom
E_tot = -25.2 eV for the cell shown
E_form = 709 meV/atom

The following is a PBE calculation of a relaxed TlCoRu crystal, from Alexandria via LeMat-Bulk.

Unit cell a=2.8171 b=3.8590 c=9.9070 alpha=90.00 beta=90.06 gamma=90.00
Fractional positions:
Tl (0.0025, 0.2500, 0.3547)
Tl (0.9975, 0.7500, 0.6453)
Co (0.0002, 0.2500, 0.0662)
Co (0.9998, 0.7500, 0.9338)
Ru (0.4994, 0.2500, 0.8501)
Ru (0.5006, 0.7500, 0.1499)

Results
magnetization = 1.4 μB per formula unit
SG = P2_1/m (11)
offset from the most stable computed form = 71 meV per atom
E_tot = -34.8 eV for the cell shown
E_form = 454 meV/atom

The following is a PBE calculation of a relaxed Tl4CoRu crystal, from Alexandria via LeMat-Bulk.

Unit cell a=6.0215 b=6.0215 c=6.0215 alpha=60.00 beta=60.00 gamma=60.00
Fractional positions:
Tl (0.1252, 0.1252, 0.1252)
Tl (0.1252, 0.1252, 0.6245)
Tl (0.1252, 0.6245, 0.1252)
Tl (0.6245, 0.1252, 0.1252)
Co (0.7500, 0.7500, 0.7500)
Ru (0.5000, 0.5000, 0.5000)

Results
magnetization = 4.1 μB per formula unit
SG = F-43m (216)
E_tot = -18.2 eV for the cell shown
E_form = 1271 meV/atom

The following is a PBE calculation of a relaxed TlCoRu2 crystal, from Alexandria via LeMat-Bulk.

Unit cell a=8.8747 b=8.8747 c=8.8747 alpha=18.64 beta=18.64 gamma=18.64
Fractional positions:
Tl (0.0000, 0.0000, 0.0000)
Co (0.5000, 0.5000, 0.5000)
Ru (0.2408, 0.2408, 0.2408)
Ru (0.7592, 0.7592, 0.7592)

Results
magnetization = 2.3 μB per formula unit
SG = R-3m (166)
offset from the most stable computed form = 191 meV per atom
E_tot = -25.5 eV for the cell shown
E_form = 640 meV/atom

The following is a PBE calculation of a relaxed TlCoRu crystal, from Alexandria via LeMat-Bulk.

Unit cell a=2.9388 b=2.9388 c=6.5426 alpha=90.00 beta=90.00 gamma=120.00
Fractional positions:
Tl (0.0000, 0.0000, 0.0000)
Co (0.6667, 0.3333, 0.3493)
Ru (0.3333, 0.6667, 0.6312)

Results
magnetization = 1.6 μB per formula unit
SG = P3m1 (156)
offset from the most stable computed form = 300 meV per atom
E_tot = -16.7 eV for the cell shown
E_form = 683 meV/atom

The following is a PBE calculation of a relaxed TlCoRu2 crystal, from Alexandria via LeMat-Bulk.

Unit cell a=2.9874 b=2.9874 c=6.8654 alpha=90.00 beta=90.00 gamma=90.00
Fractional positions:
Tl (0.0000, 0.0000, 0.0000)
Co (0.0000, 0.0000, 0.5000)
Ru (0.5000, 0.5000, 0.2989)
Ru (0.5000, 0.5000, 0.7011)

Results
magnetization = 1.4 μB per formula unit
SG = P4/mmm (123)
offset from the most stable computed form = 75 meV per atom
E_tot = -25.9 eV for the cell shown
E_form = 524 meV/atom

The following is a PBE calculation of a relaxed TlCoRu crystal, from Alexandria via LeMat-Bulk.

Unit cell a=5.9611 b=5.9611 c=5.9611 alpha=151.81 beta=151.81 gamma=40.28
Fractional positions:
Tl (0.0000, 0.0000, 0.0000)
Co (0.3188, 0.3188, 0.0000)
Ru (0.6940, 0.6940, 0.0000)

Results
magnetization = 0.0 μB per formula unit
SG = I4mm (107)
offset from the most stable computed form = 139 meV per atom
E_tot = -17.2 eV for the cell shown
E_form = 522 meV/atom

The following is a PBE calculation of a relaxed TlCoRu crystal, from Alexandria via LeMat-Bulk.

Unit cell a=3.6120 b=3.6379 c=9.2296 alpha=90.00 beta=101.25 gamma=90.00
Fractional positions:
Tl (0.0000, 0.0000, 0.0000)
Tl (0.1605, 0.0000, 0.3237)
Co (0.7869, 0.0000, 0.5724)
Co (0.8757, 0.5000, 0.7509)
Ru (0.2840, 0.5000, 0.5667)
Ru (0.3797, 0.0000, 0.7584)

Results
magnetization = 0.0 μB per formula unit
SG = Pm (6)
offset from the most stable computed form = 35 meV per atom
E_tot = -35.0 eV for the cell shown
E_form = 417 meV/atom

The following is a PBE calculation of a relaxed TlCoRu crystal, from Alexandria via LeMat-Bulk.

Unit cell a=4.2015 b=4.2015 c=4.2015 alpha=60.00 beta=60.00 gamma=60.00
Fractional positions:
Tl (0.0000, 0.0000, 0.0000)
Co (0.7500, 0.7500, 0.7500)
Ru (0.5000, 0.5000, 0.5000)

Results
magnetization = 2.1 μB per formula unit
SG = F-43m (216)
offset from the most stable computed form = 268 meV per atom
E_tot = -16.8 eV for the cell shown
E_form = 651 meV/atom

The following is a PBE calculation of a relaxed TlCoRu2 crystal, from Alexandria via LeMat-Bulk.

Unit cell a=4.8350 b=4.8350 c=4.8350 alpha=132.61 beta=132.61 gamma=69.26
Fractional positions:
Tl (0.0000, 0.0000, 0.0000)
Co (0.5000, 0.5000, 0.0000)
Ru (0.2500, 0.7500, 0.5000)
Ru (0.7500, 0.2500, 0.5000)

Results
magnetization = 0.0 μB per formula unit
SG = I4/mmm (139)
offset from the most stable computed form = 159 meV per atom
E_tot = -25.6 eV for the cell shown
E_form = 608 meV/atom

The following is a PBE calculation of a relaxed TlCoRu2 crystal, from Alexandria via LeMat-Bulk.

Unit cell a=4.6963 b=4.6963 c=4.9148 alpha=101.65 beta=101.65 gamma=35.58
Fractional positions:
Tl (0.0000, 0.0000, 0.0000)
Co (0.5000, 0.5000, 0.5000)
Ru (0.2334, 0.2334, 0.7073)
Ru (0.7666, 0.7666, 0.2927)

Results
magnetization = 1.6 μB per formula unit
SG = C2/m (12)
offset from the most stable computed form = 69 meV per atom
E_tot = -26.0 eV for the cell shown
E_form = 518 meV/atom

The following is a PBE calculation of a relaxed TlCoRu3 crystal, from Alexandria via LeMat-Bulk.

Unit cell a=4.5160 b=4.5160 c=4.5160 alpha=90.00 beta=90.00 gamma=90.00
Fractional positions:
Tl (0.0000, 0.0000, 0.0000)
Co (0.5000, 0.5000, 0.5000)
Ru (0.0000, 0.5000, 0.5000)
Ru (0.5000, 0.0000, 0.5000)
Ru (0.5000, 0.5000, 0.0000)

Results
magnetization = 6.1 μB per formula unit
SG = Pm-3m (221)
offset from the most stable computed form = 0 meV per atom
E_tot = -31.0 eV for the cell shown
E_form = 1263 meV/atom

The following is a PBE calculation of a relaxed TlCoRu crystal, from Alexandria via LeMat-Bulk.

Unit cell a=11.1559 b=11.1559 c=3.0623 alpha=97.86 beta=97.86 gamma=15.78
Fractional positions:
Tl (0.0687, 0.0687, 0.0708)
Tl (0.9313, 0.9313, 0.9292)
Co (0.2225, 0.2225, 0.2230)
Co (0.7775, 0.7775, 0.7770)
Ru (0.3408, 0.3408, 0.3403)
Ru (0.6592, 0.6592, 0.6597)

Results
magnetization = 2.9 μB per formula unit
SG = C2/m (12)
offset from the most stable computed form = 0 meV per atom
E_tot = -35.2 eV for the cell shown
E_form = 382 meV/atom